Material: Cs2Rb2W
Method: DFT, PBE
State: optimized geometry

Cell: 13.500 13.500 13.500 Å, 156.03 156.03 34.15°
Element x y z (fractional)
Cs 0.079 0.079 0.000
Cs 0.921 0.921 0.000
Rb 0.250 0.750 0.500
Rb 0.750 0.250 0.500
W 0.500 0.500 0.000

Values from the calculation:
formation energy from the elements = 1383 meV/atom
E_tot = -0.071 hartree per atom